The following is a DFT calculation (GGA-PBE) of a relaxed BeNi2Pt crystal.

a b c (Å): 4.776 4.776 4.776
angles (deg): 146.80 130.62 60.80
Last column: magnetic moment on the atom in μB.
Element x y z (fractional)
Ni (0.028, 0.028, 0.000)  0.37
Ni (0.472, 0.472, 0.000)  0.37
Pt (0.750, 0.250, 0.500)  0.07
Be (0.250, 0.750, 0.500)  -0.01

Calculated values
N(E_F) = 1.33 states/eV/atom
E_form = -302 meV/atom
Total energy = -5.634 eV/atom
Calculated density = 11.91 Mg/m³